Entry 1:
Computed, not measured: a relaxed SrReN3 crystal at the PBE level of DFT.

Space group: P1
Raw formation energy, eV/f.u.: -1.61

Cell lengths 3.7160, 4.0950, 10.7807 Å; angles 99.13, 95.80, 90.08 degrees
With the nearest neighbours (Å) after each atom.
Positions (direct):
1 Sr 0.0000 0.0000 0.0000  6 N 2.62-2.82
2 Sr 0.1273 0.2734 0.4289  6 N 2.61-2.89
3 Re 0.4489 0.4588 0.7806  3 N 1.81-2.00
4 Re 0.6818 0.9020 0.6466  3 N 1.81-2.00
5 N 0.0530 0.5076 0.1825  1 N 1.17
6 N 0.0683 0.7687 0.2459  1 N 1.17
7 N 0.1950 0.1075 0.6587  3 Re 1.96-2.07
8 N 0.4856 0.4772 0.9506  1 Re 1.81
9 N 0.6404 0.7672 0.4771  1 Re 1.81
10 N 0.9350 0.6528 0.7679  3 Re 1.95-2.07

***

Entry 2:
Computed, not measured: a relaxed AgTeIrI2 crystal at the PBE level of DFT.

Space group: P4/mmm
Raw formation energy, eV/f.u.: 2.48
Energy above the most stable polymorph in this dataset, meV/atom: 0.0

Cell lengths 5.6686, 5.6686, 5.0257 Å; angles 90.00, 90.00, 90.00 degrees
With the nearest neighbours (Å) after each atom.
Positions (direct):
1 Ag 0.0000 0.0000 0.0000  8 I 3.79, 4 Te 4.01
2 Te 0.5000 0.5000 0.0000  2 Ir 2.51
3 Ir 0.5000 0.5000 0.5000  2 Te 2.51
4 I 0.0000 0.5000 0.5000  2 Ir 2.83
5 I 0.5000 0.0000 0.5000  2 Ir 2.83

***

Entry 3:
Computed, not measured: a relaxed Tb4HoHg4 crystal at the PBE level of DFT.

Space group: P4_2/n
E_tot, eV per atom: -2.96

Cell lengths 9.5019, 9.5019, 5.5512 Å; angles 90.00, 90.00, 90.00 degrees
With the nearest neighbours (Å) after each atom.
Positions (direct):
1 Tb 0.0967 0.8383 0.1468  4 Hg 3.08-3.19, 1 Tb 3.36, 1 Ho 3.45
2 Tb 0.1617 0.5967 0.6468  4 Hg 3.08-3.19, 1 Tb 3.36, 1 Ho 3.45
3 Tb 0.3383 0.9033 0.6468  4 Hg 3.08-3.19, 1 Tb 3.36, 1 Ho 3.45
4 Tb 0.4033 0.6617 0.1468  4 Hg 3.08-3.19, 1 Tb 3.36, 1 Ho 3.45
5 Tb 0.5967 0.3383 0.8532  4 Hg 3.08-3.19, 1 Tb 3.36, 1 Ho 3.45
6 Tb 0.6617 0.0967 0.3532  4 Hg 3.08-3.19, 1 Tb 3.36, 1 Ho 3.45
7 Tb 0.8383 0.4033 0.3532  4 Hg 3.08-3.19, 1 Tb 3.36, 1 Ho 3.45
8 Tb 0.9033 0.1617 0.8532  4 Hg 3.08-3.19, 1 Tb 3.36, 1 Ho 3.45
9 Ho 0.2500 0.2500 0.7500  4 Hg 3.07
10 Ho 0.7500 0.7500 0.2500  4 Hg 3.07
11 Hg 0.0478 0.1468 0.3563  1 Ho 3.07, 4 Tb 3.08-3.19, 3 Hg 3.27-3.34
12 Hg 0.1468 0.4522 0.1437  1 Ho 3.07, 4 Tb 3.08-3.19, 3 Hg 3.27-3.34
13 Hg 0.3532 0.0478 0.1437  1 Ho 3.07, 4 Tb 3.08-3.19, 3 Hg 3.27-3.34
14 Hg 0.4522 0.3532 0.3563  1 Ho 3.07, 4 Tb 3.08-3.19, 3 Hg 3.27-3.34
15 Hg 0.5478 0.6468 0.6437  1 Ho 3.07, 4 Tb 3.08-3.19, 3 Hg 3.27-3.34
16 Hg 0.6468 0.9522 0.8563  1 Ho 3.07, 4 Tb 3.08-3.19, 3 Hg 3.27-3.34
17 Hg 0.8532 0.5478 0.8563  1 Ho 3.07, 4 Tb 3.08-3.19, 3 Hg 3.27-3.34
18 Hg 0.9522 0.8532 0.6437  1 Ho 3.07, 4 Tb 3.08-3.19, 3 Hg 3.27-3.34

***

Entry 4:
Computed, not measured: a relaxed PmMg6Cd4 crystal at the PBE level of DFT.

Space group: P-6m2
E_tot, eV per atom: -1.76

Cell lengths 8.0471, 8.0471, 4.6171 Å; angles 90.00, 90.00, 120.00 degrees
With the nearest neighbours (Å) after each atom.
Positions (direct):
1 Pm 0.0000 0.0000 0.0000  6 Cd 3.62, 12 Mg 3.65-4.05
2 Mg 0.2025 0.4049 0.5000  4 Cd 2.81-2.94
3 Mg 0.2025 0.7975 0.5000  4 Cd 2.81-2.94
4 Mg 0.5337 0.0675 0.0000  5 Cd 2.79-2.96
5 Mg 0.5337 0.4663 0.0000  5 Cd 2.79-2.96
6 Mg 0.5951 0.7975 0.5000  4 Cd 2.81-2.94
7 Mg 0.9325 0.4663 0.0000  5 Cd 2.79-2.96
8 Cd 0.3333 0.6667 0.0000  9 Mg 2.79-2.94
9 Cd 0.4000 0.2000 0.5000  6 Mg 2.81-2.96
10 Cd 0.8000 0.2000 0.5000  6 Mg 2.81-2.96
11 Cd 0.8000 0.6000 0.5000  6 Mg 2.81-2.96

***

Entry 5:
Computed, not measured: a relaxed NaPb2Cl5 crystal at the PBE level of DFT.

Space group: P2_1/c
Raw formation energy, eV/f.u.: -10.46
Energy above the most stable polymorph in this dataset, meV/atom: 0.0

Cell lengths 9.3995, 7.1637, 14.4527 Å; angles 90.00, 103.78, 90.00 degrees
With the nearest neighbours (Å) after each atom.
Positions (direct):
1 Na 0.0000 0.0000 0.0000  6 Cl 2.76-2.93
2 Na 0.0000 0.5000 0.5000  6 Cl 2.76-2.93
3 Na 0.5000 0.0000 0.0000  4 Cl 2.67-2.78
4 Na 0.5000 0.5000 0.5000  4 Cl 2.67-2.78
5 Pb 0.1521 0.0757 0.3049  6 Cl 2.89-3.00
6 Pb 0.1521 0.4243 0.8049  6 Cl 2.89-3.00
7 Pb 0.3426 0.0181 0.6159  7 Cl 2.87-3.14
8 Pb 0.3426 0.4819 0.1159  7 Cl 2.87-3.14
9 Pb 0.6574 0.5181 0.8841  7 Cl 2.87-3.14
10 Pb 0.6574 0.9819 0.3841  7 Cl 2.87-3.14
11 Pb 0.8479 0.5757 0.1951  6 Cl 2.89-3.00
12 Pb 0.8479 0.9243 0.6951  6 Cl 2.89-3.00
13 Cl 0.0433 0.1890 0.6354  3 Pb 2.91-3.14, 1 Na 2.93
14 Cl 0.0433 0.3110 0.1354  3 Pb 2.91-3.14, 1 Na 2.93
15 Cl 0.1437 0.7073 0.6612  1 Na 2.82, 2 Pb 2.89-3.08
16 Cl 0.1437 0.7927 0.1612  1 Na 2.82, 2 Pb 2.89-3.08
17 Cl 0.2477 0.1850 0.9783  2 Na 2.67-2.76, 1 Pb 2.90
18 Cl 0.2477 0.3150 0.4783  2 Na 2.67-2.76, 1 Pb 2.90
19 Cl 0.3749 0.6619 0.9279  1 Na 2.78, 3 Pb 2.94-3.09
20 Cl 0.3749 0.8381 0.4279  1 Na 2.78, 3 Pb 2.94-3.09
21 Cl 0.4308 0.2439 0.7834  3 Pb 2.87-3.01
22 Cl 0.4308 0.2561 0.2834  3 Pb 2.87-3.01
23 Cl 0.5692 0.7439 0.7166  3 Pb 2.87-3.01
24 Cl 0.5692 0.7561 0.2166  3 Pb 2.87-3.01
25 Cl 0.6251 0.1619 0.5721  1 Na 2.78, 3 Pb 2.94-3.09
26 Cl 0.6251 0.3381 0.0721  1 Na 2.78, 3 Pb 2.94-3.09
27 Cl 0.7523 0.6850 0.5217  2 Na 2.67-2.76, 1 Pb 2.90
28 Cl 0.7523 0.8150 0.0217  2 Na 2.67-2.76, 1 Pb 2.90
29 Cl 0.8563 0.2073 0.8388  1 Na 2.82, 2 Pb 2.89-3.08
30 Cl 0.8563 0.2927 0.3388  1 Na 2.82, 2 Pb 2.89-3.08
31 Cl 0.9567 0.6890 0.8646  3 Pb 2.91-3.14, 1 Na 2.93
32 Cl 0.9567 0.8110 0.3646  3 Pb 2.91-3.14, 1 Na 2.93

***

Entry 6:
Computed, not measured: a relaxed Li4PSe5 crystal at the PBE level of DFT.

Space group: I4
Raw formation energy, eV/f.u.: -6.32

Cell lengths 6.6256, 6.6256, 6.6256 Å; angles 100.26, 100.26, 130.06 degrees
With the nearest neighbours (Å) after each atom.
Positions (direct):
1 Li 0.1153 0.7158 0.8311  5 Se 2.61-2.91
2 Li 0.2842 0.1153 0.3996  5 Se 2.61-2.91
3 Li 0.7158 0.8847 0.6004  5 Se 2.61-2.91
4 Li 0.8847 0.2842 0.1689  5 Se 2.61-2.91
5 P 0.4370 0.4370 0.0000  5 Se 2.24-2.39
6 Se 0.0365 0.0365 0.0000  1 P 2.24
7 Se 0.2487 0.4439 0.6612  1 P 2.39, 1 Li 2.64
8 Se 0.4439 0.7827 0.1952  1 P 2.39, 1 Li 2.64
9 Se 0.5875 0.2487 0.8048  1 P 2.39, 1 Li 2.64
10 Se 0.7827 0.5875 0.3388  1 P 2.39, 1 Li 2.64